[1]
VASP calculation (PBE) on a relaxed Zn2SiW2 crystal.

Geometry as extended XYZ:
```
10
Lattice="-0.580 -1.004 5.996 -4.524 -3.953 -1.099 2.599 -2.909 -0.236" Properties=species:S:1:pos:R:3 pbc="T T T"
Zn -4.136 -3.797 1.249
Zn -3.365 -3.372 4.505
Zn -0.967 -1.160 3.648
Zn -1.738 -1.585 0.392
Si 0.000 0.000 0.000
Si -2.552 -2.479 2.449
W -1.840 -4.283 0.175
W -2.836 -5.402 3.001
W -0.664 -3.583 4.486
W 0.331 -2.464 1.660
```

Calculated values
Total magnetic moment = 0.00 μB/cell
SG = P4/mbm, No. 127
Formation energy (no corrections) = 0.580 eV per atom
Distance to the lowest polymorph of the same formula = 0.00 kcal/mol of atoms

[2]
VASP calculation (PBE) on a relaxed Ho3AlHg crystal.

Geometry as extended XYZ:
```
10
Lattice="4.939 0.000 1.129 0.000 5.072 0.000 0.201 0.000 10.492" Properties=species:S:1:pos:R:3 pbc="T T T"
Ho 3.794 1.268 2.144
Ho 2.092 1.268 9.588
Ho 2.940 1.268 5.879
Ho 1.311 3.804 1.635
Ho 4.549 3.804 10.209
Ho 0.463 3.804 5.345
Al 3.361 3.804 4.037
Al 4.982 1.268 8.316
Hg 2.513 3.804 7.749
Hg 0.891 1.268 3.475
```

Calculated values
Total magnetic moment = 0.00 μB/cell
Formation energy from the elements = -312 meV/atom
SG = Cmcm, No. 63
Distance to the lowest polymorph of the same formula = 0.00 kcal/mol of atoms